(1)
Compound: Sm3Ni3Bi4
Source: Alexandria
Functional: GGA-PBE
Structure: optimized geometry

Properties
Its density of states at the Fermi level is 8.7 states/eV/f.u. The space group is I-43d. The value obtained for the energy of formation from the pure elements is -578 meV/atom.

Geometry as extended XYZ:
```
20
Lattice="-4.9076 4.9076 4.9076 4.9076 -4.9076 4.9076 4.9076 4.9076 -4.9076" Properties=species:S:1:pos:R:3 pbc="T T T"
Sm 4.9076 -2.4538 3.6807
Sm 3.6807 4.9076 -2.4538
Sm 4.9076 2.4538 1.2269
Sm 2.4538 1.2269 4.9076
Sm 1.2269 4.9076 2.4538
Sm -2.4538 3.6807 4.9076
Ni 7.3614 1.2269 0.0000
Ni 3.6807 0.0000 2.4538
Ni 2.4538 3.6807 0.0000
Ni 0.0000 2.4538 3.6807
Ni 1.2269 0.0000 7.3614
Ni 0.0000 7.3614 1.2269
Bi 3.1993 1.7083 -1.7083
Bi 5.6531 -0.7455 0.7455
Bi 1.7083 -1.7083 3.1993
Bi 1.7083 1.7083 1.7083
Bi -1.7083 3.1993 1.7083
Bi 0.7455 5.6531 -0.7455
Bi -0.7455 0.7455 5.6531
Bi 4.1621 4.1621 4.1621
```

***

(2)
Compound: MgRe2Mo
Source: Alexandria
Functional: GGA-PBE
Structure: optimized geometry

Properties
Its density of states at the Fermi level is 3.6 states/eV/f.u. The space group is I-4m2. The value obtained for the energy of formation from the pure elements is 393 meV/atom.

Geometry as extended XYZ:
```
4
Lattice="-1.9640 1.9640 4.0348 1.9640 -1.9640 4.0348 1.9640 1.9640 -4.0348" Properties=species:S:1:pos:R:3 pbc="T T T"
Mg 0.0000 0.0000 0.0000
Re 0.0000 0.0000 4.0348
Re 0.0000 1.9640 2.0174
Mo 1.9640 0.0000 2.0174
```

***

(3)
Compound: Ce2ZnCo
Source: Alexandria
Functional: GGA-PBE
Structure: optimized geometry

Properties
Its density of states at the Fermi level is 7.9 states/eV/f.u. The space group is Fm-3m. The calculation puts the energy above the most stable polymorph in this dataset at 127 meV/atom. The value obtained for the energy of formation from the pure elements is -85 meV/atom.

Geometry as extended XYZ:
```
4
Lattice="0.0000 3.4876 3.4876 3.4876 0.0000 3.4876 3.4876 3.4876 0.0000" Properties=species:S:1:pos:R:3 pbc="T T T"
Ce 1.7438 1.7438 1.7438
Ce 5.2314 5.2314 5.2314
Zn 0.0000 0.0000 0.0000
Co 3.4876 3.4876 3.4876
```

***

(4)
Compound: ZnOs2Rh
Source: Alexandria
Functional: GGA-PBE
Structure: optimized geometry

Properties
Its density of states at the Fermi level is 4.2 states/eV/f.u. The space group is P4/mmm. The value obtained for the energy of formation from the pure elements is 314 meV/atom.

Geometry as extended XYZ:
```
4
Lattice="3.6790 0.0000 0.0000 0.0000 3.6790 0.0000 0.0000 0.0000 4.2425" Properties=species:S:1:pos:R:3 pbc="T T T"
Zn 0.0000 0.0000 0.0000
Os 0.0000 1.8395 2.1213
Os 1.8395 0.0000 2.1213
Rh 1.8395 1.8395 0.0000
```

***

| no. | magnetic moment (μB per formula unit) |
| --- | --- |
| 1 | 0.00 |
| 2 | 0.00 |
| 3 | 0.33 |
| 4 | 0.00 |